A plane-wave DFT calculation with PBE-GGA was carried out for a relaxed Bi2HPd6 crystal.

Results
DOS at the Fermi energy ... 0.376 states/eV per atom
E_tot ... -4.755 eV/atom

abc: 4.774 5.725 6.599
angles: 115.71 100.51 90.00
Sites, in units of the cell vectors:
Bi 0.614 0.692 0.384
Bi 0.386 0.308 0.616
H 0.000 0.000 0.000
Pd 0.065 0.370 0.246
Pd 0.935 0.124 0.754
Pd 0.935 0.630 0.754
Pd 0.500 0.230 0.000
Pd 0.065 0.876 0.246
Pd 0.500 0.770 0.000